This record from the Alexandria database describes a relaxed structure of Rb2CuSnBr6. The functional is PBE.

Computed properties:
DOS at the Fermi energy	1.83	states/eV/f.u.
space group	I4/mmm (139)
spin magnetization	0.00	μB/cell
E_form (uncorrected)	-1.044	eV per atom

a = 7.711 Å, b = 7.711 Å, c = 7.746 Å
α = 60.15°, β = 60.15°, γ = 90.00°
Element x y z (fractional)
Br  0.260  0.260  0.000
Sn  0.000  0.000  0.000
Rb  0.750  0.250  0.500
Br  0.740  0.260  0.000
Br  0.258  0.258  0.485
Br  0.742  0.742  0.515
Rb  0.250  0.750  0.500
Cu  0.500  0.500  0.000
Br  0.740  0.740  0.000
Br  0.260  0.740  0.000